Hf4MnOs3 | PBE-GGA | relaxed

a b c (Å): 3.229 3.229 12.956
angles (deg): 90.00 90.00 90.00
Positions (direct):
Os 0.500 0.500 0.248
Os 0.500 0.500 0.500
Os 0.500 0.500 0.752
Mn 0.500 0.500 0.000
Hf 0.000 0.000 0.881
Hf 0.000 0.000 0.119
Hf 0.000 0.000 0.373
Hf 0.000 0.000 0.627

Values from the calculation:
Energy of formation, eV/atom: -0.58
Space group: P4/mmm (123)
Density of states at the Fermi level, states/eV per cell: 2.57
E, eV per cell: -87.3